## LiNi2Rh (GGA-PBEsol)

Data for an optimized crystal structure of LiNi2Rh.

Unit cell a=2.5409 b=4.3577 c=4.4139 alpha=100.18 beta=106.73 gamma=90.00
Fractional positions:
1 Ni 0.0099 0.9885 0.0198
2 Ni 0.7452 0.2633 0.4903
3 Rh 0.4909 0.4774 0.9818
4 Li 0.2540 0.7709 0.5080

Results
Space-group type: No. 8
Uncorrected energy, eV/atom: -5.602
Formation energy from the elements, eV per atom: 0.0027

## ReSb2Rh (GGA-PBEsol)

Data for an optimized crystal structure of ReSb2Rh.

Unit cell a=3.0092 b=3.0092 c=8.7877 alpha=90.00 beta=90.00 gamma=90.00
Fractional positions:
1 Re 0.0000 0.0000 0.5329
2 Rh 0.5000 0.5000 0.7173
3 Sb 0.0000 0.0000 0.9303
4 Sb 0.5000 0.5000 0.3195

Results
Excess energy over the best structure of this formula in the dataset, meV per atom: 0
Space-group type: No. 99
Uncorrected energy, eV/atom: -7.499
Uncorrected formation energy, eV/atom: 0.15

## YGaSnHg2 (GGA-PBEsol)

Data for an optimized crystal structure of YGaSnHg2.

Unit cell a=4.9891 b=4.9891 c=5.2904 alpha=90.00 beta=90.00 gamma=90.00
Fractional positions:
1 Y 0.5000 0.5000 0.5000
2 Hg 0.0000 0.5000 0.0000
3 Hg 0.5000 0.0000 0.0000
4 Ga 0.0000 0.0000 0.0000
5 Sn 0.0000 0.0000 0.5000

Results
Space-group type: No. 123
Uncorrected energy, eV/atom: -3.043
Formation energy from the elements, eV per atom: 0.0683

## CrPbCl2 (GGA-PBEsol)

Data for an optimized crystal structure of CrPbCl2.

Unit cell a=3.6150 b=5.5099 c=5.5099 alpha=107.22 beta=107.58 gamma=107.58
Fractional positions:
1 Pb 0.5000 0.5000 0.5000
2 Cr 0.5000 0.0000 0.0000
3 Cl 0.0000 0.5000 0.0000
4 Cl 0.0000 0.0000 0.5000

Results
Excess energy over the best structure of this formula in the dataset, meV per atom: 335
Space-group type: No. 12
Uncorrected energy, eV/atom: -4.670
Uncorrected formation energy, eV/atom: -0.11

## CrSbTeO6 (GGA-PBEsol)

Data for an optimized crystal structure of CrSbTeO6.

Unit cell a=4.7308 b=4.7308 c=9.5564 alpha=90.00 beta=90.00 gamma=90.00
Fractional positions:
1 Cr 0.0000 0.0000 0.6674
2 Cr 0.5000 0.5000 0.1674
3 Sb 0.0000 0.0000 0.3330
4 Sb 0.5000 0.5000 0.8330
5 Te 0.0000 0.0000 0.9997
6 Te 0.5000 0.5000 0.4997
7 O 0.7018 0.2982 0.6758
8 O 0.2982 0.7018 0.6758
9 O 0.7982 0.7982 0.1758
10 O 0.2018 0.2018 0.1758
11 O 0.6811 0.3189 0.0019
12 O 0.3189 0.6811 0.0019
13 O 0.8189 0.8189 0.5019
14 O 0.1811 0.1811 0.5019
15 O 0.6976 0.3024 0.3223
16 O 0.3024 0.6976 0.3223
17 O 0.8024 0.8024 0.8223
18 O 0.1976 0.1976 0.8223

Results
Space-group type: No. 102
Uncorrected energy, eV/atom: -6.905
Uncorrected formation energy, eV/atom: -1.37

## LiLaHg (GGA-PBEsol)

Data for an optimized crystal structure of LiLaHg.

Unit cell a=3.4477 b=4.9184 c=4.9184 alpha=120.00 beta=90.00 gamma=90.00
Fractional positions:
1 La 0.0000 0.3333 0.6667
2 Hg 0.5000 0.0000 0.0000
3 Li 0.5000 0.6667 0.3333

Results
Excess energy over the best structure of this formula in the dataset, meV per atom: 0
Space-group type: No. 187
Uncorrected energy, eV/atom: -3.007
Formation energy from the elements, eV per atom: -0.3806

## Ta2W (GGA-PBEsol)

Data for an optimized crystal structure of Ta2W.

Unit cell a=2.8034 b=4.5610 c=4.5610 alpha=120.00 beta=90.00 gamma=90.00
Fractional positions:
1 W 0.5000 0.0000 0.0000
2 Ta 0.1785 0.3333 0.6667
3 Ta 0.8215 0.6667 0.3333

Results
Excess energy over the best structure of this formula in the dataset, meV per atom: 16
Space-group type: No. 164
Uncorrected energy, eV/atom: -13.028
Formation energy from the elements, eV per atom: -0.0582

## Ba2FeWO6 (GGA-PBEsol)

Data for an optimized crystal structure of Ba2FeWO6.

Unit cell a=5.5886 b=5.5888 c=9.6796 alpha=73.23 beta=73.22 gamma=60.00
Fractional positions:
1 Ba 0.3750 0.8750 0.8750
2 Ba 0.8750 0.3750 0.3750
3 Ba 0.6250 0.1250 0.1250
4 Ba 0.1250 0.6250 0.6250
5 Fe 0.5000 0.0000 0.5000
6 Fe 0.0000 0.5000 0.0000
7 W 0.2500 0.7500 0.2500
8 W 0.7500 0.2500 0.7500
9 O 0.6211 0.6263 0.1263
10 O 0.1211 0.1262 0.6263
11 O 0.8737 0.3738 0.8737
12 O 0.3737 0.8737 0.3737
13 O 0.1263 0.6262 0.1263
14 O 0.6263 0.1263 0.6263
15 O 0.3789 0.3737 0.8737
16 O 0.8789 0.8738 0.3737
17 O 0.8737 0.8789 0.8737
18 O 0.3736 0.3789 0.3737
19 O 0.1263 0.1211 0.1263
20 O 0.6264 0.6211 0.6263

Results
Space-group type: No. 225
Uncorrected energy, eV/atom: -8.162
Uncorrected formation energy, eV/atom: -2.31

## LuSnRu2 (GGA-PBEsol)

Data for an optimized crystal structure of LuSnRu2.

Unit cell a=4.5542 b=4.5542 c=4.5542 alpha=60.00 beta=60.00 gamma=60.00
Fractional positions:
1 Ru 0.2500 0.2500 0.2500
2 Ru 0.7500 0.7500 0.7500
3 Lu 0.5000 0.5000 0.5000
4 Sn 0.0000 0.0000 0.0000

Results
Space-group type: No. 225
Uncorrected energy, eV/atom: -7.792
Formation energy from the elements, eV per atom: -0.4231

## Ta2MnF (GGA-PBEsol)

Data for an optimized crystal structure of Ta2MnF.

Unit cell a=4.2633 b=4.2633 c=4.2633 alpha=60.00 beta=60.00 gamma=60.00
Fractional positions:
1 F 0.0000 0.0000 0.0000
2 Mn 0.5000 0.5000 0.5000
3 Ta 0.2500 0.2500 0.2500
4 Ta 0.7500 0.7500 0.7500

Results
Space-group type: No. 225
Uncorrected energy, eV/atom: -9.249
Uncorrected formation energy, eV/atom: -0.05

## LaCdOs2 (GGA-PBEsol)

Data for an optimized crystal structure of LaCdOs2.

Unit cell a=4.2854 b=4.2854 c=5.0812 alpha=114.94 beta=114.94 gamma=90.00
Fractional positions:
1 Cd 0.5000 0.5000 0.0000
2 La 0.2500 0.7500 0.5000
3 Os 0.0000 0.0000 0.0000
4 Os 0.7500 0.2500 0.5000

Results
Space-group type: No. 119
Uncorrected energy, eV/atom: -7.030
Formation energy from the elements, eV per atom: 0.7138

## Ca2MgTa (GGA-PBEsol)

Data for an optimized crystal structure of Ca2MgTa.

Unit cell a=3.0724 b=5.7034 c=6.0210 alpha=97.70 beta=90.00 gamma=105.63
Fractional positions:
1 Ca 0.7564 0.5127 0.7644
2 Ca 0.2436 0.4873 0.2356
3 Mg 0.0000 0.0000 0.5000
4 Ta 0.5000 0.0000 0.0000

Results
Space-group type: No. 12
Uncorrected energy, eV/atom: -4.006
Formation energy from the elements, eV per atom: 0.6276

Number 1: total moment 1.102 Bohr magnetons per cell, density of states at the Fermi level 5.35 states/eV/f.u.. Number 2: total moment 0.000 Bohr magnetons per cell, density of states at the Fermi level 2.23 states/eV/f.u.. Number 3: total moment 0.000 Bohr magnetons per cell, density of states at the Fermi level 2.62 states/eV/f.u.. Number 4: total moment 4.333 Bohr magnetons per cell, density of states at the Fermi level 1.55 states/eV/f.u.. Number 5: total moment 6.000 Bohr magnetons per cell, density of states at the Fermi level 0.33 states/eV/f.u.. Number 6: total moment 0.000 Bohr magnetons per cell, density of states at the Fermi level 1.74 states/eV/f.u.. Number 7: total moment 0.000 Bohr magnetons per cell, density of states at the Fermi level 2.85 states/eV/f.u.. Number 8: total moment 0.001 Bohr magnetons per cell, density of states at the Fermi level 0.84 states/eV/f.u.. Number 9: total moment 0.000 Bohr magnetons per cell, density of states at the Fermi level 5.08 states/eV/f.u.. Number 10: total moment 0.000 Bohr magnetons per cell, density of states at the Fermi level 4.12 states/eV/f.u.. Number 11: total moment 0.026 Bohr magnetons per cell, density of states at the Fermi level 6.86 states/eV/f.u.. Number 12: total moment 0.000 Bohr magnetons per cell, density of states at the Fermi level 3.62 states/eV/f.u..